Here is Na2LiLa after structural relaxation from the Alexandria database. Energies are from PBE.

The structure in POSCAR format:
```
Na2LiLa
1.0
-0.986 -3.222 -0.291
3.188 -1.019 0.487
-1.858 -0.445 11.231
Na Li La
2 1 1
Cartesian
-1.439 -0.345 8.697 Na
-0.419 -0.100 2.534 Na
1.101 -2.121 0.098 Li
0.172 -2.343 5.714 La
```

Values from the calculation:
The formation energy is 0.15 eV per atom. The calculation puts the energy above the most stable polymorph in this dataset at 0.0 meV/atom. Its magnetization is 0.00 μB/f.u.